The following is a DFT calculation (PBE-GGA) of LiMoRu2 after structural relaxation.

Summary:
* DOS at the Fermi energy: 0.96 states/eV per atom
* energy of formation from the pure elements: 0.60 eV/atom

abc: 6.7962 6.7962 5.4533
angles: 90.00 90.00 90.00
Last column: nearest neighbours and their distance in Å.
Space group I-42d (No. 122)
Unique sites:
Li (0.0000, 0.0000, 0.0000) (multiplicity 4)  4 Ru 2.60, 2 Mo 2.73
Mo (0.0000, 0.0000, 0.5000) (multiplicity 4)  4 Ru 2.40
Ru (0.2281, 0.2500, 0.6250) (multiplicity 8)  2 Mo 2.40, 2 Li 2.60